DFT (GGA-PBE) results for a relaxed structure of MgCd.

Energy, eV per atom: -1.296
Symmetry: Amm2 (38)

Geometry as CIF:
```
data_MgCd
_chemical_formula_sum 'Mg5 Cd5'
_symmetry_space_group_name_H-M 'P 1'
_symmetry_Int_Tables_number 1
_cell_length_a 5.356
_cell_length_b 8.244
_cell_length_c 5.058
_cell_angle_alpha 90.00
_cell_angle_beta 90.00
_cell_angle_gamma 71.05
loop_
_symmetry_equiv_pos_as_xyz
'x,y,z'
loop_
_atom_site_label
_atom_site_fract_x
_atom_site_fract_y
_atom_site_fract_z
Cd1 0.403 0.199 0.000
Cd2 0.802 0.401 0.000
Cd3 0.612 0.800 0.000
Cd4 0.058 0.191 0.500
Cd5 0.449 0.409 0.500
Mg1 0.207 0.602 0.000
Mg2 0.009 0.998 0.000
Mg3 0.661 0.001 0.500
Mg4 0.863 0.599 0.500
Mg5 0.269 0.800 0.500
```

DFT (GGA-PBE) results for a relaxed structure of MgCd.

Energy, eV per atom: -1.295
Symmetry: Pmmn (59)

Geometry as CIF:
```
data_MgCd
_chemical_formula_sum 'Mg8 Cd8'
_symmetry_space_group_name_H-M 'P 1'
_symmetry_Int_Tables_number 1
_cell_length_a 5.391
_cell_length_b 12.267
_cell_length_c 5.110
_cell_angle_alpha 90.00
_cell_angle_beta 90.00
_cell_angle_gamma 90.00
loop_
_symmetry_equiv_pos_as_xyz
'x,y,z'
loop_
_atom_site_label
_atom_site_fract_x
_atom_site_fract_y
_atom_site_fract_z
Cd1 0.998 0.501 0.000
Cd2 0.493 0.629 0.000
Cd3 0.493 0.871 0.000
Cd4 0.998 0.999 0.000
Cd5 0.335 0.001 0.500
Cd6 0.840 0.129 0.500
Cd7 0.840 0.371 0.500
Cd8 0.335 0.499 0.500
Mg1 0.508 0.120 0.000
Mg2 0.009 0.250 0.000
Mg3 0.508 0.380 0.000
Mg4 0.986 0.750 0.000
Mg5 0.347 0.250 0.500
Mg6 0.825 0.620 0.500
Mg7 0.324 0.750 0.500
Mg8 0.825 0.880 0.500
```